Material: CeHgIrPd
Method: DFT, PBE
State: optimized geometry

Values from the calculation:
Raw total energy (eV per cell): -21.9
Total moment (μB/cell): 0.00

```
data_CeHgIrPd
_chemical_formula_sum 'Ce1 Hg1 Ir1 Pd1'
_space_group_name_H-M_alt 'P 1'
_space_group_IT_number 1
_space_group_name_Hall 'P 1'
_cell_length_a 4.825
_cell_length_b 4.825
_cell_length_c 4.825
_cell_angle_alpha 60.00
_cell_angle_beta 60.00
_cell_angle_gamma 60.00
loop_
_atom_site_label
_atom_site_type_symbol
_atom_site_fract_x
_atom_site_fract_y
_atom_site_fract_z
_atom_site_occupancy
Ce1 Ce 0.000 0.000 0.000 1
Hg1 Hg 0.500 0.500 0.500 1
Ir1 Ir 0.750 0.750 0.750 1
Pd1 Pd 0.250 0.250 0.250 1
```